Material: LaMn2BeSi
Method: DFT, PBE-GGA
State: optimized geometry

a b c (Å): 4.621 4.621 4.240
angles (deg): 90.00 90.00 90.00
Element x y z (fractional)
Mn: 0.500 0.000 0.000
Mn: 0.000 0.500 0.000
Si: 0.000 0.000 0.000
Be: 0.000 0.000 0.500
La: 0.500 0.500 0.500

Values from the calculation:
SG: P4/mmm (123)
Fermi-level density of states in states/eV/f.u.: 2.65
Uncorrected formation energy in eV per atom: 0.250

---

Material: Nd2YEr2
Method: DFT, PBE-GGA
State: optimized geometry

a b c (Å): 3.593 3.591 15.075
angles (deg): 96.82 83.15 59.98
Element x y z (fractional)
Er: 0.362 0.972 0.304
Er: 0.638 0.028 0.696
Nd: 0.773 0.559 0.895
Nd: 0.227 0.441 0.105
Y: 0.500 0.500 0.500

Values from the calculation:
SG: C2/m (12)
Fermi-level density of states in states/eV/f.u.: 6.65
Energy of formation in eV per atom: 0.027
Polymorph energy (0 for the lowest one) in meV per atom: 0

---

Material: AcGd2N
Method: DFT, PBE-GGA
State: optimized geometry

a b c (Å): 3.585 3.585 10.215
angles (deg): 79.89 79.89 60.00
Element x y z (fractional)
Gd: 0.122 0.122 0.633
Gd: 0.878 0.878 0.367
N: 0.500 0.500 0.500
Ac: 0.000 0.000 0.000

Values from the calculation:
SG: R-3m (166)
Fermi-level density of states in states/eV/f.u.: 4.04
Uncorrected formation energy in eV per atom: -0.631
Polymorph energy (0 for the lowest one) in meV per atom: 0

---

Material: Ca4CdPt
Method: DFT, PBE-GGA
State: optimized geometry

a b c (Å): 6.574 8.620 8.322
angles (deg): 114.77 105.18 104.60
Element x y z (fractional)
Ca: 0.336 0.650 0.864
Ca: 0.664 0.350 0.136
Ca: 0.632 0.057 0.340
Ca: 0.028 0.214 0.863
Ca: 0.368 0.943 0.660
Ca: 0.206 0.283 0.340
Ca: 0.794 0.717 0.660
Ca: 0.972 0.786 0.137
Cd: 0.382 0.632 0.264
Cd: 0.618 0.368 0.736
Pt: 0.752 0.002 0.003
Pt: 0.248 0.998 0.997

Values from the calculation:
SG: P-1 (2)
Fermi-level density of states in states/eV/f.u.: 3.83
Energy of formation in eV per atom: -0.493
Polymorph energy (0 for the lowest one) in meV per atom: 0